Entry 1:
# Ba3Na4Hg4 (PBE-GGA, relaxed)
data_Ba3Na4Hg4
_chemical_formula_sum 'Ba6 Na8 Hg8'
_symmetry_space_group_name_H-M 'I m m m'
_symmetry_Int_Tables_number 71
_symmetry_space_group_name_Hall '-I 2 2'
_cell_length_a 4.756
_cell_length_b 9.451
_cell_length_c 17.365
_cell_angle_alpha 90.00
_cell_angle_beta 90.00
_cell_angle_gamma 90.00
loop_
_atom_site_label
_atom_site_fract_x
_atom_site_fract_y
_atom_site_fract_z
Ba1 0.000 0.000 0.000
Ba2 0.000 0.500 0.115
Na1 0.000 0.310 0.327
Hg1 0.000 0.000 0.231
Hg2 0.000 0.195 0.500
# * formation energy from the elements: -0.32 eV per atom
# * M_tot: 0.00 μB/f.u.
# * D(E_F): 7.5 states/eV/f.u.
# * V: 780.5 Å³/cell

***

Entry 2:
# BaNa2Hg4 (PBE-GGA, relaxed)
data_BaNa2Hg4
_chemical_formula_sum 'Ba2 Na4 Hg8'
_symmetry_space_group_name_H-M 'I 4/m m m'
_symmetry_Int_Tables_number 139
_symmetry_space_group_name_Hall '-I 4 2'
_cell_length_a 8.077
_cell_length_b 8.077
_cell_length_c 6.094
_cell_angle_alpha 90.00
_cell_angle_beta 90.00
_cell_angle_gamma 90.00
loop_
_atom_site_label
_atom_site_fract_x
_atom_site_fract_y
_atom_site_fract_z
Ba1 0.000 0.000 0.000
Na1 0.000 0.500 0.250
Hg1 0.190 0.190 0.500
# * formation energy from the elements: -0.37 eV per atom
# * M_tot: 0.00 μB/f.u.
# * D(E_F): 3.1 states/eV/f.u.
# * V: 397.5 Å³/cell

***

Entry 3:
# BaNa5Hg2 (PBE-GGA, relaxed)
data_BaNa5Hg2
_chemical_formula_sum 'Ba2 Na10 Hg4'
_symmetry_space_group_name_H-M 'I m m m'
_symmetry_Int_Tables_number 71
_symmetry_space_group_name_Hall '-I 2 2'
_cell_length_a 4.892
_cell_length_b 9.771
_cell_length_c 11.602
_cell_angle_alpha 90.00
_cell_angle_beta 90.00
_cell_angle_gamma 90.00
loop_
_atom_site_label
_atom_site_fract_x
_atom_site_fract_y
_atom_site_fract_z
Ba1 0.000 0.000 0.000
Na1 0.000 0.183 0.338
Na2 0.000 0.500 0.000
Hg1 0.000 0.500 0.277
# * formation energy from the elements: -0.20 eV per atom
# * M_tot: 0.00 μB/f.u.
# * D(E_F): 3.2 states/eV/f.u.
# * V: 554.5 Å³/cell

***

Entry 4:
# Ba2NaHg8 (PBE-GGA, relaxed)
data_Ba2NaHg8
_chemical_formula_sum 'Ba4 Na2 Hg16'
_symmetry_space_group_name_H-M 'C 1 2/m 1'
_symmetry_Int_Tables_number 12
_cell_length_a 9.094
_cell_length_b 17.270
_cell_length_c 5.423
_cell_angle_alpha 90.00
_cell_angle_beta 126.22
_cell_angle_gamma 90.00
loop_
_symmetry_equiv_pos_as_xyz
'x,y,z'
'-x,-y,-z'
'-x,y,-z'
'x,-y,z'
'x+1/2,y+1/2,z'
'-x+1/2,-y+1/2,-z'
'-x+1/2,y+1/2,-z'
'x+1/2,-y+1/2,z'
loop_
_atom_site_label
_atom_site_fract_x
_atom_site_fract_y
_atom_site_fract_z
Ba1 0.000 0.184 0.000
Na1 0.000 0.500 0.500
Hg1 0.000 0.315 0.500
Hg2 0.099 0.000 0.349
Hg3 0.213 0.370 0.202
# * formation energy from the elements: -0.34 eV per atom
# * M_tot: 0.00 μB/f.u.
# * D(E_F): 6.6 states/eV/f.u.
# * V: 687.2 Å³/cell

***

Entry 5:
# BaNa4Hg12 (PBE-GGA, relaxed)
data_BaNa4Hg12
_chemical_formula_sum 'Ba2 Na8 Hg24'
_symmetry_space_group_name_H-M 'I m -3'
_symmetry_Int_Tables_number 204
_symmetry_space_group_name_Hall '-I 2 2 3'
_cell_length_a 10.283
_cell_length_b 10.283
_cell_length_c 10.283
_cell_angle_alpha 90.00
_cell_angle_beta 90.00
_cell_angle_gamma 90.00
loop_
_atom_site_label
_atom_site_fract_x
_atom_site_fract_y
_atom_site_fract_z
Ba1 0.000 0.000 0.000
Na1 0.250 0.250 0.250
Hg1 0.000 0.356 0.147
# * formation energy from the elements: -0.12 eV per atom
# * M_tot: 0.00 μB/f.u.
# * D(E_F): 5.3 states/eV/f.u.
# * V: 1087.5 Å³/cell

***

Entry 6:
# BaNa2Hg2 (PBE-GGA, relaxed)
data_BaNa2Hg2
_chemical_formula_sum 'Ba2 Na4 Hg4'
_symmetry_space_group_name_H-M 'P 4/m b m'
_symmetry_Int_Tables_number 127
_symmetry_space_group_name_Hall '-P 4 2ab'
_cell_length_a 9.042
_cell_length_b 9.042
_cell_length_c 3.748
_cell_angle_alpha 90.00
_cell_angle_beta 90.00
_cell_angle_gamma 90.00
loop_
_atom_site_label
_atom_site_fract_x
_atom_site_fract_y
_atom_site_fract_z
Ba1 0.000 0.000 0.000
Na1 0.118 0.382 0.000
Hg1 0.181 0.681 0.500
# * formation energy from the elements: -0.24 eV per atom
# * M_tot: 0.00 μB/f.u.
# * D(E_F): 4.0 states/eV/f.u.
# * V: 306.5 Å³/cell
# * excess energy over the best structure of this formula in the dataset: 75.2 meV per atom

***

Entry 7:
# Ba5NaHg4 (PBE-GGA, relaxed)
data_Ba5NaHg4
_chemical_formula_sum 'Ba5 Na1 Hg4'
_symmetry_space_group_name_H-M 'P 4/m m m'
_symmetry_Int_Tables_number 123
_symmetry_space_group_name_Hall '-P 4 2'
_cell_length_a 4.224
_cell_length_b 4.224
_cell_length_c 22.273
_cell_angle_alpha 90.00
_cell_angle_beta 90.00
_cell_angle_gamma 90.00
loop_
_atom_site_label
_atom_site_fract_x
_atom_site_fract_y
_atom_site_fract_z
Ba1 0.000 0.000 0.000
Ba2 0.000 0.000 0.189
Ba3 0.000 0.000 0.374
Na1 0.500 0.500 0.500
Hg1 0.500 0.500 0.094
Hg2 0.500 0.500 0.288
# * formation energy from the elements: -0.43 eV per atom
# * M_tot: 0.00 μB/f.u.
# * D(E_F): 8.4 states/eV/f.u.
# * V: 397.4 Å³/cell

***

Entry 8:
# Ba2NaHg4 (PBE-GGA, relaxed)
data_Ba2NaHg4
_chemical_formula_sum 'Ba4 Na2 Hg8'
_symmetry_space_group_name_H-M 'I 4/m m m'
_symmetry_Int_Tables_number 139
_symmetry_space_group_name_Hall '-I 4 2'
_cell_length_a 5.517
_cell_length_b 5.517
_cell_length_c 17.629
_cell_angle_alpha 90.00
_cell_angle_beta 90.00
_cell_angle_gamma 90.00
loop_
_atom_site_label
_atom_site_fract_x
_atom_site_fract_y
_atom_site_fract_z
Ba1 0.000 0.000 0.130
Na1 0.000 0.000 0.500
Hg1 0.000 0.000 0.327
Hg2 0.000 0.500 0.000
# * formation energy from the elements: -0.26 eV per atom
# * M_tot: 0.00 μB/f.u.
# * D(E_F): 5.8 states/eV/f.u.
# * V: 536.7 Å³/cell
# * excess energy over the best structure of this formula in the dataset: 68.9 meV per atom

***

Entry 9:
# Ba4Na3Hg2 (PBE-GGA, relaxed)
data_Ba4Na3Hg2
_chemical_formula_sum 'Ba8 Na6 Hg4'
_symmetry_space_group_name_H-M 'C 1 2/m 1'
_symmetry_Int_Tables_number 12
_cell_length_a 19.115
_cell_length_b 5.016
_cell_length_c 8.670
_cell_angle_alpha 90.00
_cell_angle_beta 108.62
_cell_angle_gamma 90.00
loop_
_symmetry_equiv_pos_as_xyz
'x,y,z'
'-x,-y,-z'
'-x,y,-z'
'x,-y,z'
'x+1/2,y+1/2,z'
'-x+1/2,-y+1/2,-z'
'-x+1/2,y+1/2,-z'
'x+1/2,-y+1/2,z'
loop_
_atom_site_label
_atom_site_fract_x
_atom_site_fract_y
_atom_site_fract_z
Ba1 0.074 0.000 0.339
Ba2 0.232 0.500 0.197
Na1 0.000 0.500 0.000
Na2 0.095 0.500 0.707
Hg1 0.110 0.000 0.953
# * formation energy from the elements: -0.20 eV per atom
# * M_tot: 0.00 μB/f.u.
# * D(E_F): 8.0 states/eV/f.u.
# * V: 787.8 Å³/cell

***

Entry 10:
# Ba2NaNdHg6 (PBE-GGA, relaxed)
data_Ba2NaNdHg6
_chemical_formula_sum 'Ba8 Na4 Nd4 Hg24'
_symmetry_space_group_name_H-M 'F m -3 m'
_symmetry_Int_Tables_number 225
_symmetry_space_group_name_Hall '-F 4 2 3'
_cell_length_a 11.429
_cell_length_b 11.429
_cell_length_c 11.429
_cell_angle_alpha 90.00
_cell_angle_beta 90.00
_cell_angle_gamma 90.00
loop_
_atom_site_label
_atom_site_fract_x
_atom_site_fract_y
_atom_site_fract_z
Ba1 0.250 0.250 0.250
Na1 0.000 0.000 0.000
Nd1 0.000 0.000 0.500
Hg1 0.000 0.000 0.242
# * formation energy from the elements: -0.17 eV per atom
# * M_tot: 0.00 μB/f.u.
# * D(E_F): 6.4 states/eV/f.u.
# * V: 1492.8 Å³/cell

***

Q: Look up the M_tot of the fifth one.
A: 0.00 μB/f.u.